# 1
BaZrTe2Se after structural relaxation, computed with PBE-GGA.

Cell and atoms, written as extended XYZ:
```
5
Lattice="5.755 0.000 0.000 0.000 5.755 0.000 0.000 0.000 5.192" Properties=species:S:1:pos:R:3 pbc="T T T"
Ba 0.000 0.000 0.000
Zr 2.877 2.877 2.596
Te 0.000 2.877 2.596
Te 2.877 0.000 2.596
Se 2.877 2.877 0.000
```

Computed properties:
SG: No. 123
V: 171.9 Å³/cell
Formation energy (no corrections): -1.24 eV/atom
Electronic total energy: -0.1942 Ha/atom
DOS at the Fermi energy: 1.32 states/eV/f.u.
Total moment: 0.00 μB/cell



# 2
BaZrTeSe2 after structural relaxation, computed with PBE-GGA.

Cell and atoms, written as extended XYZ:
```
5
Lattice="5.260 0.000 0.000 0.000 5.260 0.000 0.000 0.000 5.793" Properties=species:S:1:pos:R:3 pbc="T T T"
Ba 0.000 0.000 0.000
Zr 2.630 2.630 2.897
Te 2.630 2.630 0.000
Se 0.000 2.630 2.897
Se 2.630 0.000 2.897
```

Computed properties:
SG: No. 123
V: 160.3 Å³/cell
Formation energy (no corrections): -1.39 eV/atom
Electronic total energy: -0.2025 Ha/atom
DOS at the Fermi energy: 0.60 states/eV/f.u.
Total moment: 0.00 μB/cell